# CaTc3Ag (PBE-GGA, relaxed)
# E above lowest polymorph, eV/atom: 0.568
data_CaTc3Ag
_cell_length_a 4.607
_cell_length_b 4.607
_cell_length_c 4.607
_cell_angle_alpha 90.00
_cell_angle_beta 90.00
_cell_angle_gamma 90.00
_symmetry_space_group_name_H-M 'P m -3 m'
_symmetry_Int_Tables_number 221
_symmetry_space_group_name_Hall '-P 4 2 3'
loop_
_atom_site_label
_atom_site_fract_x
_atom_site_fract_y
_atom_site_fract_z
Ca1 0.000 0.000 0.000
Tc1 0.000 0.000 0.500
Ag1 0.500 0.500 0.500


# SbIrBr2 (PBE-GGA, relaxed)
# Uncorrected formation energy, meV per atom: 590
# E above lowest polymorph, eV/atom: 0.882
data_SbIrBr2
_cell_length_a 5.810
_cell_length_b 9.375
_cell_length_c 4.391
_cell_angle_alpha 90.00
_cell_angle_beta 131.27
_cell_angle_gamma 90.00
_symmetry_space_group_name_H-M 'C 1 2/m 1'
_symmetry_Int_Tables_number 12
loop_
_symmetry_equiv_pos_as_xyz
'x,y,z'
'-x,-y,-z'
'-x,y,-z'
'x,-y,z'
'x+1/2,y+1/2,z'
'-x+1/2,-y+1/2,-z'
'-x+1/2,y+1/2,-z'
'x+1/2,-y+1/2,z'
loop_
_atom_site_label
_atom_site_fract_x
_atom_site_fract_y
_atom_site_fract_z
Sb1 0.000 0.000 0.000
Ir1 0.000 0.500 0.000
Br1 0.250 0.250 0.500


# SrAg2Rh (PBE-GGA, relaxed)
# E above lowest polymorph, eV/atom: 0.150
data_SrAg2Rh
_cell_length_a 6.977
_cell_length_b 6.977
_cell_length_c 6.977
_cell_angle_alpha 90.00
_cell_angle_beta 90.00
_cell_angle_gamma 90.00
_symmetry_space_group_name_H-M 'F m -3 m'
_symmetry_Int_Tables_number 225
_symmetry_space_group_name_Hall '-F 4 2 3'
loop_
_atom_site_label
_atom_site_fract_x
_atom_site_fract_y
_atom_site_fract_z
Sr1 0.000 0.000 0.000
Ag1 0.250 0.250 0.250
Rh1 0.000 0.000 0.500


RbNaZnH4: relaxed, PBE-GGA.

```
data_RbNaZnH4
_cell_length_a 6.635
_cell_length_b 10.163
_cell_length_c 7.220
_cell_angle_alpha 90.00
_cell_angle_beta 90.00
_cell_angle_gamma 90.00
_symmetry_space_group_name_H-M 'C m c m'
_symmetry_Int_Tables_number 63
_symmetry_space_group_name_Hall '-C 2c 2'
loop_
_atom_site_label
_atom_site_fract_x
_atom_site_fract_y
_atom_site_fract_z
Rb1 0.000 0.000 0.000
Na1 0.000 0.349 0.250
Zn1 0.000 0.361 0.750
H1 0.000 0.273 0.557
H2 0.197 0.464 0.750
```


# BaMoAu2 (PBE-GGA, relaxed)
# E above lowest polymorph, eV/atom: 0.362
data_BaMoAu2
_cell_length_a 7.416
_cell_length_b 7.416
_cell_length_c 7.416
_cell_angle_alpha 90.00
_cell_angle_beta 90.00
_cell_angle_gamma 90.00
_symmetry_space_group_name_H-M 'F m -3 m'
_symmetry_Int_Tables_number 225
_symmetry_space_group_name_Hall '-F 4 2 3'
loop_
_atom_site_label
_atom_site_fract_x
_atom_site_fract_y
_atom_site_fract_z
Ba1 0.000 0.000 0.000
Mo1 0.000 0.000 0.500
Au1 0.250 0.250 0.250


# K2MgSiS4 (PBE-GGA, relaxed)
# Uncorrected formation energy, meV per atom: -1100
data_K2MgSiS4
_cell_length_a 7.702
_cell_length_b 8.582
_cell_length_c 6.790
_cell_angle_alpha 90.00
_cell_angle_beta 90.00
_cell_angle_gamma 90.00
_symmetry_space_group_name_H-M 'P m n 21'
_symmetry_Int_Tables_number 31
loop_
_symmetry_equiv_pos_as_xyz
'x,y,z'
'-x+1/2,-y,z+1/2'
'-x,y,z'
'x+1/2,-y,z+1/2'
loop_
_atom_site_label
_atom_site_fract_x
_atom_site_fract_y
_atom_site_fract_z
K1 0.240 0.165 0.000
Mg1 0.000 0.374 0.480
Si1 0.000 0.653 0.972
S1 0.000 0.437 0.124
S2 0.000 0.614 0.664
S3 0.230 0.794 0.035


# CsTe2Se6S2 (PBE-GGA, relaxed)
# Uncorrected formation energy, meV per atom: -120
data_CsTe2Se6S2
_cell_length_a 7.376
_cell_length_b 7.603
_cell_length_c 8.161
_cell_angle_alpha 113.25
_cell_angle_beta 99.48
_cell_angle_gamma 105.87
_symmetry_space_group_name_H-M 'P -1'
_symmetry_Int_Tables_number 2
loop_
_symmetry_equiv_pos_as_xyz
'x,y,z'
'-x,-y,-z'
loop_
_atom_site_label
_atom_site_fract_x
_atom_site_fract_y
_atom_site_fract_z
Cs1 0.000 0.000 0.000
Te1 0.347 0.364 0.734
Se1 0.071 0.756 0.347
Se2 0.267 0.537 0.040
Se3 0.442 0.692 0.630
S1 0.264 0.888 0.643


# Cs2HfMnSe4 (PBE-GGA, relaxed)
# Uncorrected formation energy, meV per atom: -1165
data_Cs2HfMnSe4
_cell_length_a 6.278
_cell_length_b 14.929
_cell_length_c 26.312
_cell_angle_alpha 90.00
_cell_angle_beta 90.00
_cell_angle_gamma 90.00
_symmetry_space_group_name_H-M 'F d d d'
_symmetry_Int_Tables_number 70
loop_
_symmetry_equiv_pos_as_xyz
'x,y,z'
'-x,-y,-z'
'-x+1/4,-y+1/4,z'
'x+1/4,y+1/4,-z'
'x,-y+1/4,-z+1/4'
'-x,y+1/4,z+1/4'
'-x+1/4,y,-z+1/4'
'x+1/4,-y,z+1/4'
'x,y+1/2,z+1/2'
'-x,-y+1/2,-z+1/2'
'-x+1/4,-y+3/4,z+1/2'
'x+1/4,y+3/4,-z+1/2'
'x,-y+3/4,-z+3/4'
'-x,y+3/4,z+3/4'
'-x+1/4,y+1/2,-z+3/4'
'x+1/4,-y+1/2,z+3/4'
'x+1/2,y,z+1/2'
'-x+1/2,-y,-z+1/2'
'-x+3/4,-y+1/4,z+1/2'
'x+3/4,y+1/4,-z+1/2'
'x+1/2,-y+1/4,-z+3/4'
'-x+1/2,y+1/4,z+3/4'
'-x+3/4,y,-z+3/4'
'x+3/4,-y,z+3/4'
'x+1/2,y+1/2,z'
'-x+1/2,-y+1/2,-z'
'-x+3/4,-y+3/4,z'
'x+3/4,y+3/4,-z'
'x+1/2,-y+3/4,-z+1/4'
'-x+1/2,y+3/4,z+1/4'
'-x+3/4,y+1/2,-z+1/4'
'x+3/4,-y+1/2,z+1/4'
loop_
_atom_site_label
_atom_site_fract_x
_atom_site_fract_y
_atom_site_fract_z
Cs1 0.125 0.125 0.303
Hf1 0.125 0.125 0.125
Mn1 0.125 0.125 0.625
Se1 0.122 0.279 0.428


# Th3AuCN (PBE-GGA, relaxed)
# Uncorrected formation energy, meV per atom: -764
data_Th3AuCN
_cell_length_a 7.398
_cell_length_b 3.872
_cell_length_c 10.077
_cell_angle_alpha 90.00
_cell_angle_beta 108.92
_cell_angle_gamma 90.00
_symmetry_space_group_name_H-M 'P 1 21/m 1'
_symmetry_Int_Tables_number 11
loop_
_symmetry_equiv_pos_as_xyz
'x,y,z'
'-x,-y,-z'
'-x,y+1/2,-z'
'x,-y+1/2,z'
loop_
_atom_site_label
_atom_site_fract_x
_atom_site_fract_y
_atom_site_fract_z
Th1 0.078 0.250 0.377
Th2 0.273 0.250 0.938
Th3 0.412 0.750 0.664
Au1 0.218 0.750 0.184
C1 0.172 0.250 0.644
N1 0.415 0.750 0.894


Sc2CrPb: relaxed, PBE-GGA.

```
data_Sc2CrPb
_cell_length_a 3.358
_cell_length_b 3.358
_cell_length_c 7.760
_cell_angle_alpha 90.00
_cell_angle_beta 90.00
_cell_angle_gamma 90.00
_symmetry_space_group_name_H-M 'P 4 m m'
_symmetry_Int_Tables_number 99
loop_
_symmetry_equiv_pos_as_xyz
'x,y,z'
'-y,x,z'
'-x,-y,z'
'y,-x,z'
'-x,y,z'
'y,x,z'
'x,-y,z'
'-y,-x,z'
loop_
_atom_site_label
_atom_site_fract_x
_atom_site_fract_y
_atom_site_fract_z
Sc1 0.000 0.000 0.000
Sc2 0.500 0.500 0.291
Cr1 0.000 0.000 0.501
Pb1 0.500 0.500 0.725
```


# PmHgBrO2 (PBE-GGA, relaxed)
# Uncorrected formation energy, meV per atom: -1827
data_PmHgBrO2
_cell_length_a 6.861
_cell_length_b 3.745
_cell_length_c 7.853
_cell_angle_alpha 90.00
_cell_angle_beta 95.51
_cell_angle_gamma 90.00
_symmetry_space_group_name_H-M 'P 1 21/m 1'
_symmetry_Int_Tables_number 11
loop_
_symmetry_equiv_pos_as_xyz
'x,y,z'
'-x,-y,-z'
'-x,y+1/2,-z'
'x,-y+1/2,z'
loop_
_atom_site_label
_atom_site_fract_x
_atom_site_fract_y
_atom_site_fract_z
Pm1 0.117 0.250 0.200
Hg1 0.381 0.250 0.837
Br1 0.224 0.750 0.540
O1 0.088 0.250 0.889
O2 0.320 0.750 0.155


Sc2FeAgH: relaxed, PBE-GGA.

```
data_Sc2FeAgH
_cell_length_a 4.657
_cell_length_b 4.657
_cell_length_c 3.375
_cell_angle_alpha 90.00
_cell_angle_beta 90.00
_cell_angle_gamma 90.00
_symmetry_space_group_name_H-M 'P 4/m m m'
_symmetry_Int_Tables_number 123
_symmetry_space_group_name_Hall '-P 4 2'
loop_
_atom_site_label
_atom_site_fract_x
_atom_site_fract_y
_atom_site_fract_z
Sc1 0.000 0.500 0.000
Fe1 0.000 0.000 0.500
Ag1 0.500 0.500 0.500
H1 0.000 0.000 0.000
```


DyAg6Hg2: relaxed, PBE-GGA.

```
data_DyAg6Hg2
_cell_length_a 14.654
_cell_length_b 8.118
_cell_length_c 3.285
_cell_angle_alpha 90.00
_cell_angle_beta 102.79
_cell_angle_gamma 90.00
_symmetry_space_group_name_H-M 'C 1 2/m 1'
_symmetry_Int_Tables_number 12
loop_
_symmetry_equiv_pos_as_xyz
'x,y,z'
'-x,-y,-z'
'-x,y,-z'
'x,-y,z'
'x+1/2,y+1/2,z'
'-x+1/2,-y+1/2,-z'
'-x+1/2,y+1/2,-z'
'x+1/2,-y+1/2,z'
loop_
_atom_site_label
_atom_site_fract_x
_atom_site_fract_y
_atom_site_fract_z
Dy1 0.000 0.000 0.000
Ag1 0.000 0.325 0.500
Ag2 0.173 0.173 0.672
Hg1 0.150 0.500 0.153
```


# SiH2Se (PBE-GGA, relaxed)
# E above lowest polymorph, eV/atom: 1.034
data_SiH2Se
_cell_length_a 5.514
_cell_length_b 5.514
_cell_length_c 5.514
_cell_angle_alpha 90.00
_cell_angle_beta 90.00
_cell_angle_gamma 90.00
_symmetry_space_group_name_H-M 'F m -3 m'
_symmetry_Int_Tables_number 225
_symmetry_space_group_name_Hall '-F 4 2 3'
loop_
_atom_site_label
_atom_site_fract_x
_atom_site_fract_y
_atom_site_fract_z
Si1 0.000 0.000 0.000
H1 0.250 0.250 0.250
Se1 0.000 0.000 0.500


Nb2P: relaxed, PBE-GGA.

```
data_Nb2P
_cell_length_a 18.082
_cell_length_b 3.465
_cell_length_c 13.940
_cell_angle_alpha 90.00
_cell_angle_beta 90.00
_cell_angle_gamma 90.00
_symmetry_space_group_name_H-M 'P m m a'
_symmetry_Int_Tables_number 51
loop_
_symmetry_equiv_pos_as_xyz
'x,y,z'
'-x,-y,-z'
'-x+1/2,-y,z'
'x+1/2,y,-z'
'x+1/2,-y,-z'
'-x+1/2,y,z'
'-x,y,-z'
'x,-y,z'
loop_
_atom_site_label
_atom_site_fract_x
_atom_site_fract_y
_atom_site_fract_z
Nb1 0.000 0.000 0.000
Nb2 0.000 0.500 0.500
Nb3 0.001 0.000 0.338
Nb4 0.062 0.500 0.156
Nb5 0.120 0.500 0.930
Nb6 0.143 0.000 0.496
Nb7 0.162 0.000 0.738
Nb8 0.165 0.000 0.259
Nb9 0.250 0.000 0.939
Nb10 0.250 0.500 0.113
Nb11 0.250 0.500 0.383
Nb12 0.250 0.500 0.612
P1 0.045 0.000 0.829
P2 0.104 0.500 0.364
P3 0.104 0.500 0.628
P4 0.144 0.000 0.068
P5 0.250 0.500 0.810
```


# CoAsRhBr2 (PBE-GGA, relaxed)
# Uncorrected formation energy, meV per atom: 734
# E above lowest polymorph, eV/atom: 0.000
data_CoAsRhBr2
_cell_length_a 4.936
_cell_length_b 4.936
_cell_length_c 4.396
_cell_angle_alpha 90.00
_cell_angle_beta 90.00
_cell_angle_gamma 90.00
_symmetry_space_group_name_H-M 'P 4/m m m'
_symmetry_Int_Tables_number 123
_symmetry_space_group_name_Hall '-P 4 2'
loop_
_atom_site_label
_atom_site_fract_x
_atom_site_fract_y
_atom_site_fract_z
Co1 0.000 0.000 0.000
As1 0.000 0.000 0.500
Rh1 0.500 0.500 0.500
Br1 0.000 0.500 0.000


# Sb2As (PBE-GGA, relaxed)
# Uncorrected formation energy, meV per atom: 251
# E above lowest polymorph, eV/atom: 0.184
data_Sb2As
_cell_length_a 3.529
_cell_length_b 3.874
_cell_length_c 24.176
_cell_angle_alpha 90.00
_cell_angle_beta 90.00
_cell_angle_gamma 90.00
_symmetry_space_group_name_H-M 'I m m a'
_symmetry_Int_Tables_number 74
_symmetry_space_group_name_Hall '-I 2b 2'
loop_
_atom_site_label
_atom_site_fract_x
_atom_site_fract_y
_atom_site_fract_z
Sb1 0.000 0.250 0.044
Sb2 0.000 0.250 0.192
As1 0.000 0.250 0.642


# MgBi2P2O10 (PBE-GGA, relaxed)
# Uncorrected formation energy, meV per atom: -1819
data_MgBi2P2O10
_cell_length_a 13.729
_cell_length_b 14.987
_cell_length_c 8.189
_cell_angle_alpha 90.00
_cell_angle_beta 90.00
_cell_angle_gamma 90.00
_symmetry_space_group_name_H-M 'F d d 2'
_symmetry_Int_Tables_number 43
_symmetry_space_group_name_Hall 'F 2 -2d'
loop_
_atom_site_label
_atom_site_fract_x
_atom_site_fract_y
_atom_site_fract_z
Mg1 0.000 0.000 0.000
Bi1 0.118 0.372 0.920
P1 0.027 0.189 0.065
O1 0.001 0.452 0.055
O2 0.005 0.393 0.667
O3 0.037 0.153 0.887
O4 0.055 0.238 0.558
O5 0.122 0.235 0.123


# InTePb2 (PBE-GGA, relaxed)
# Uncorrected formation energy, meV per atom: -49
# E above lowest polymorph, eV/atom: 0.026
data_InTePb2
_cell_length_a 4.205
_cell_length_b 4.205
_cell_length_c 7.011
_cell_angle_alpha 90.00
_cell_angle_beta 90.00
_cell_angle_gamma 90.00
_symmetry_space_group_name_H-M 'P 4/m m m'
_symmetry_Int_Tables_number 123
_symmetry_space_group_name_Hall '-P 4 2'
loop_
_atom_site_label
_atom_site_fract_x
_atom_site_fract_y
_atom_site_fract_z
In1 0.000 0.000 0.000
Te1 0.000 0.000 0.500
Pb1 0.500 0.500 0.260


# YAlTl2 (PBE-GGA, relaxed)
# E above lowest polymorph, eV/atom: 0.202
data_YAlTl2
_cell_length_a 7.418
_cell_length_b 7.418
_cell_length_c 7.418
_cell_angle_alpha 90.00
_cell_angle_beta 90.00
_cell_angle_gamma 90.00
_symmetry_space_group_name_H-M 'F m -3 m'
_symmetry_Int_Tables_number 225
_symmetry_space_group_name_Hall '-F 4 2 3'
loop_
_atom_site_label
_atom_site_fract_x
_atom_site_fract_y
_atom_site_fract_z
Y1 0.000 0.000 0.000
Al1 0.000 0.000 0.500
Tl1 0.250 0.250 0.250


Number 1: total energy -23.1 eV/f.u., magnetic moment 2.21 Bohr magnetons per cell. Number 2: total energy -14.0 eV/f.u., magnetic moment 0.00 Bohr magnetons per cell. Number 3: total energy -14.4 eV/f.u., magnetic moment 0.00 Bohr magnetons per cell. Number 4: total energy -18.0 eV/f.u., magnetic moment 0.00 Bohr magnetons per cell. Number 5: total energy -17.6 eV/f.u., magnetic moment 16.11 Bohr magnetons per cell. Number 6: total energy -34.5 eV/f.u., magnetic moment 0.00 Bohr magnetons per cell. Number 7: total energy -37.6 eV/f.u., magnetic moment 0.00 Bohr magnetons per cell. Number 8: total energy -44.1 eV/f.u., magnetic moment 40.00 Bohr magnetons per cell. Number 9: total energy -47.7 eV/f.u., magnetic moment 0.00 Bohr magnetons per cell. Number 10: total energy -25.4 eV/f.u., magnetic moment 3.63 Bohr magnetons per cell. Number 11: total energy -25.8 eV/f.u., magnetic moment 0.00 Bohr magnetons per cell. Number 12: total energy -28.5 eV/f.u., magnetic moment 0.61 Bohr magnetons per cell. Number 13: total energy -22.2 eV/f.u., magnetic moment 0.00 Bohr magnetons per cell. Number 14: total energy -12.2 eV/f.u., magnetic moment 0.00 Bohr magnetons per cell. Number 15: total energy -28.1 eV/f.u., magnetic moment 0.00 Bohr magnetons per cell. Number 16: total energy -18.8 eV/f.u., magnetic moment 1.49 Bohr magnetons per cell. Number 17: total energy -12.1 eV/f.u., magnetic moment 0.00 Bohr magnetons per cell. Number 18: total energy -97.0 eV/f.u., magnetic moment 0.00 Bohr magnetons per cell. Number 19: total energy -13.5 eV/f.u., magnetic moment 0.00 Bohr magnetons per cell. Number 20: total energy -15.0 eV/f.u., magnetic moment 0.00 Bohr magnetons per cell.